# PBE-GGA CoHg2BiOs, optimized geometry
data_CoHg2BiOs
_cell_length_a 5.249
_cell_length_b 5.249
_cell_length_c 4.513
_cell_angle_alpha 90.00
_cell_angle_beta 90.00
_cell_angle_gamma 90.00
_symmetry_space_group_name_H-M 'P 4/m m m'
_symmetry_Int_Tables_number 123
_symmetry_space_group_name_Hall '-P 4 2'
loop_
_atom_site_label
_atom_site_type_symbol
_atom_site_fract_x
_atom_site_fract_y
_atom_site_fract_z
Co1 Co 0.000 0.000 0.000
Hg1 Hg 0.000 0.500 0.500
Bi1 Bi 0.500 0.500 0.000
Os1 Os 0.000 0.000 0.500
# Offset from the most stable computed form (eV per atom): 0.116
# ΔH_f (0 K) (eV per atom): 1.08
# Calculated volume (Å³ per atom): 24.86
# DFT total energy (eV/atom): -3.49